(P)
A plane-wave DFT calculation with PBE was carried out for an optimized crystal structure of CuRh3Se.

DOS(E_F): 1.182 states/eV per atom

abc: 4.524 4.524 4.524
angles: 90.00 90.00 90.00
Space group Pm-3m (No. 221)
Asymmetric unit:
Cu  0.000  0.000  0.000 x1
Rh  0.000  0.000  0.500 x3
Se  0.500  0.500  0.500 x1

(Q)
A plane-wave DFT calculation with PBE was carried out for an optimized crystal structure of CuRh3Se.

DOS(E_F): 0.565 states/eV per atom

abc: 4.533 4.533 4.533
angles: 90.00 90.00 90.00
Space group Pm-3m (No. 221)
Asymmetric unit:
Cu  0.000  0.000  0.000 x1
Rh  0.000  0.500  0.500 x3
Se  0.500  0.500  0.500 x1

So which one wins? Going from most stable to least: (Q), (P).